Entry 1:
PBE Ac2HoRh9, relaxed; DOS at the Fermi energy = 14.97 states/eV/f.u.; formation energy from the elements = -0.444 eV/atom; crystal system = trigonal; theoretical density = 11.41 Mg/m³
1.0
2.670 1.541 9.106
-2.670 1.541 9.106
0.000 -3.083 9.106
Ac Ho Rh
2 1 9
Cartesian
0.000 0.000 3.757
0.000 0.000 23.562
0.000 0.000 0.000
-1.329 -0.767 11.252
0.000 0.000 9.087
0.000 -1.535 16.067
-1.329 0.767 16.067
0.000 0.000 13.659
1.329 -0.767 11.252
0.000 1.535 11.252
0.000 0.000 18.232
1.329 0.767 16.067


Entry 2:
PBE Ac3HoRh, relaxed; DOS at the Fermi energy = 8.69 states/eV/f.u.; formation energy from the elements = -0.150 eV/atom; crystal system = cubic; theoretical density = 7.99 Mg/m³
1.0
5.822 0.000 0.000
0.000 5.822 0.000
0.000 0.000 5.822
Ac Ho Rh
3 1 1
Cartesian
0.000 0.000 2.911
0.000 2.911 0.000
2.911 0.000 0.000
2.911 2.911 2.911
0.000 0.000 0.000